No. 1
Below is crystalline Tl2SbRh at its relaxed geometry, with properties calculated at the PBE-GGA level.

Cell lengths 8.745, 8.745, 8.745 Å; angles 24.81, 24.81, 24.81 degrees
Fractional coordinates of all 4 atoms:
Tl: 0.000 0.000 0.000
Tl: 0.234 0.234 0.234
Sb: 0.771 0.771 0.771
Rh: 0.493 0.493 0.493

Calculated values
As for the total energy: -16.428 eV/cell. For the uncorrected formation energy, the calculation gives -0.22 eV per formula unit. Its density of states at the Fermi level is 0.630 states/eV/atom. The calculation puts the size of the total moment at 0.00 μB/f.u. As for the space-group type: No. 160. The value obtained for the energy relative to the lowest polymorph listed for this composition is 18 meV/atom.

---

No. 2
Below is crystalline TlSbRh2 at its relaxed geometry, with properties calculated at the PBE-GGA level.

Cell lengths 3.235, 3.235, 7.028 Å; angles 90.00, 90.00, 90.00 degrees
Fractional coordinates of all 4 atoms:
Tl: 0.000 0.000 0.000
Sb: 0.000 0.000 0.500
Rh: 0.500 0.500 0.282
Rh: 0.500 0.500 0.718

Calculated values
As for the total energy: -21.464 eV/cell. For the uncorrected formation energy, the calculation gives -0.27 eV per formula unit. Its density of states at the Fermi level is 0.865 states/eV/atom. The calculation puts the size of the total moment at 0.00 μB/f.u. As for the space-group type: No. 123. The value obtained for the energy relative to the lowest polymorph listed for this composition is 12 meV/atom.

---

No. 3
Below is crystalline Tl2SbRh at its relaxed geometry, with properties calculated at the PBE-GGA level.

Cell lengths 7.059, 7.059, 3.267 Å; angles 90.00, 90.00, 137.77 degrees
Fractional coordinates of all 4 atoms:
Tl: 0.178 0.822 0.000
Tl: 0.822 0.178 0.000
Sb: 0.500 0.500 0.500
Rh: 0.000 0.000 0.500

Calculated values
As for the total energy: -16.024 eV/cell. For the uncorrected formation energy, the calculation gives 0.18 eV per formula unit. Its density of states at the Fermi level is 0.467 states/eV/atom. The calculation puts the size of the total moment at 0.00 μB/f.u. As for the space-group type: No. 65. The value obtained for the energy relative to the lowest polymorph listed for this composition is 118 meV/atom.

---

No. 4
Below is crystalline TlSb4Rh at its relaxed geometry, with properties calculated at the PBE-GGA level.

Cell lengths 6.186, 6.186, 6.186 Å; angles 60.00, 60.00, 60.00 degrees
Fractional coordinates of all 6 atoms:
Tl: 0.000 0.000 0.000
Sb: 0.374 0.374 0.374
Sb: 0.374 0.374 0.877
Sb: 0.374 0.877 0.374
Sb: 0.877 0.374 0.374
Rh: 0.750 0.750 0.750

Calculated values
As for the total energy: -22.831 eV/cell. For the uncorrected formation energy, the calculation gives 3.38 eV per formula unit. Its density of states at the Fermi level is 1.131 states/eV/atom. The calculation puts the size of the total moment at 0.74 μB/f.u. As for the space-group type: No. 216.

---

No. 5
Below is crystalline Tl2SbRh at its relaxed geometry, with properties calculated at the PBE-GGA level.

Cell lengths 3.369, 3.369, 8.697 Å; angles 90.00, 90.00, 90.00 degrees
Fractional coordinates of all 4 atoms:
Tl: 0.000 0.000 0.000
Tl: 0.500 0.500 0.310
Sb: 0.500 0.500 0.691
Rh: 0.000 0.000 0.542

Calculated values
As for the total energy: -16.498 eV/cell. For the uncorrected formation energy, the calculation gives -0.29 eV per formula unit. Its density of states at the Fermi level is 0.979 states/eV/atom. The calculation puts the size of the total moment at 0.00 μB/f.u. As for the space-group type: No. 99. The value obtained for the energy relative to the lowest polymorph listed for this composition is 0 meV/atom.

---

No. 6
Below is crystalline TlSbRh4 at its relaxed geometry, with properties calculated at the PBE-GGA level.

Cell lengths 5.311, 5.311, 5.311 Å; angles 60.00, 60.00, 60.00 degrees
Fractional coordinates of all 6 atoms:
Tl: 0.000 0.000 0.000
Sb: 0.250 0.250 0.250
Rh: 0.125 0.625 0.625
Rh: 0.625 0.125 0.625
Rh: 0.625 0.625 0.125
Rh: 0.625 0.625 0.625

Calculated values
As for the total energy: -34.785 eV/cell. For the uncorrected formation energy, the calculation gives 1.11 eV per formula unit. Its density of states at the Fermi level is 1.233 states/eV/atom. The calculation puts the size of the total moment at 0.00 μB/f.u. As for the space-group type: No. 216.

---

No. 7
Below is crystalline Tl2SbRh at its relaxed geometry, with properties calculated at the PBE-GGA level.

Cell lengths 9.609, 9.609, 9.609 Å; angles 20.62, 20.62, 20.62 degrees
Fractional coordinates of all 4 atoms:
Tl: 0.237 0.237 0.237
Tl: 0.763 0.763 0.763
Sb: 0.000 0.000 0.000
Rh: 0.500 0.500 0.500

Calculated values
As for the total energy: -15.329 eV/cell. For the uncorrected formation energy, the calculation gives 0.88 eV per formula unit. Its density of states at the Fermi level is 0.590 states/eV/atom. The calculation puts the size of the total moment at 0.00 μB/f.u. As for the space-group type: No. 166. The value obtained for the energy relative to the lowest polymorph listed for this composition is 292 meV/atom.

---

No. 8
Below is crystalline TlSbRh2 at its relaxed geometry, with properties calculated at the PBE-GGA level.

Cell lengths 5.631, 5.631, 5.631 Å; angles 139.70, 139.70, 58.31 degrees
Fractional coordinates of all 4 atoms:
Tl: 0.000 0.000 0.000
Sb: 0.750 0.250 0.500
Rh: 0.250 0.750 0.500
Rh: 0.500 0.500 0.000

Calculated values
As for the total energy: -21.037 eV/cell. For the uncorrected formation energy, the calculation gives 0.15 eV per formula unit. Its density of states at the Fermi level is 0.453 states/eV/atom. The calculation puts the size of the total moment at 0.00 μB/f.u. As for the space-group type: No. 119. The value obtained for the energy relative to the lowest polymorph listed for this composition is 119 meV/atom.

---

No. 9
Below is crystalline Tl2SbRh at its relaxed geometry, with properties calculated at the PBE-GGA level.

Cell lengths 5.101, 5.101, 5.101 Å; angles 60.00, 60.00, 60.00 degrees
Fractional coordinates of all 4 atoms:
Tl: 0.250 0.250 0.250
Tl: 0.750 0.750 0.750
Sb: 0.000 0.000 0.000
Rh: 0.500 0.500 0.500

Calculated values
As for the total energy: -14.630 eV/cell. For the uncorrected formation energy, the calculation gives 1.58 eV per formula unit. Its density of states at the Fermi level is 0.477 states/eV/atom. The calculation puts the size of the total moment at 0.00 μB/f.u. As for the space-group type: No. 225. The value obtained for the energy relative to the lowest polymorph listed for this composition is 467 meV/atom.

---

No. 10
Below is crystalline Tl2SbRh at its relaxed geometry, with properties calculated at the PBE-GGA level.

Cell lengths 3.532, 5.036, 5.279 Å; angles 90.00, 90.00, 90.00 degrees
Fractional coordinates of all 4 atoms:
Tl: 0.000 0.000 0.000
Tl: 0.500 0.500 0.000
Sb: 0.000 0.500 0.500
Rh: 0.500 0.000 0.500

Calculated values
As for the total energy: -14.951 eV/cell. For the uncorrected formation energy, the calculation gives 1.26 eV per formula unit. Its density of states at the Fermi level is 0.635 states/eV/atom. The calculation puts the size of the total moment at 0.00 μB/f.u. As for the space-group type: No. 47. The value obtained for the energy relative to the lowest polymorph listed for this composition is 387 meV/atom.

---

No. 11
Below is crystalline Tl2SbRh at its relaxed geometry, with properties calculated at the PBE-GGA level.

Cell lengths 5.695, 5.695, 5.695 Å; angles 134.34, 134.34, 66.55 degrees
Fractional coordinates of all 4 atoms:
Tl: 0.250 0.750 0.500
Tl: 0.750 0.250 0.500
Sb: 0.000 0.000 0.000
Rh: 0.500 0.500 0.000

Calculated values
As for the total energy: -14.855 eV/cell. For the uncorrected formation energy, the calculation gives 1.35 eV per formula unit. Its density of states at the Fermi level is 0.884 states/eV/atom. The calculation puts the size of the total moment at 0.00 μB/f.u. As for the space-group type: No. 139. The value obtained for the energy relative to the lowest polymorph listed for this composition is 411 meV/atom.

---

No. 12
Below is crystalline TlSbRh2 at its relaxed geometry, with properties calculated at the PBE-GGA level.

Cell lengths 5.993, 5.993, 5.993 Å; angles 40.41, 40.41, 40.41 degrees
Fractional coordinates of all 4 atoms:
Tl: 0.000 0.000 0.000
Sb: 0.179 0.179 0.179
Rh: 0.572 0.572 0.572
Rh: 0.776 0.776 0.776

Calculated values
As for the total energy: -21.444 eV/cell. For the uncorrected formation energy, the calculation gives -0.25 eV per formula unit. Its density of states at the Fermi level is 0.372 states/eV/atom. The calculation puts the size of the total moment at 0.00 μB/f.u. As for the space-group type: No. 160. The value obtained for the energy relative to the lowest polymorph listed for this composition is 17 meV/atom.